Arrangement i

Here is an optimized crystal structure of LaSb2TeH from the Alexandria database. Energies are from PBE-GGA.

Structure (CIF):
```
data_LaSb2TeH
_space_group_name_H-M_alt 'P 4/m m m'
_space_group_IT_number 123
_space_group_name_Hall '-P 4 2'
_cell_length_a 4.5495
_cell_length_b 4.5495
_cell_length_c 5.9170
_cell_angle_alpha 90.00
_cell_angle_beta 90.00
_cell_angle_gamma 90.00
loop_
_atom_site_label
_atom_site_type_symbol
_atom_site_fract_x
_atom_site_fract_y
_atom_site_fract_z
La1 La 0.0000 0.0000 0.0000
Sb1 Sb 0.0000 0.5000 0.5000
Te1 Te 0.5000 0.5000 0.0000
H1 H 0.5000 0.5000 0.5000
```

Values from the calculation:
Total moment (μB/atom): 0.000

Arrangement ii

Here is an optimized crystal structure of LaSb2TeH from the Alexandria database. Energies are from PBE-GGA.

Structure (CIF):
```
data_LaSb2TeH
_space_group_name_H-M_alt 'P 4/m m m'
_space_group_IT_number 123
_space_group_name_Hall '-P 4 2'
_cell_length_a 6.2004
_cell_length_b 6.2004
_cell_length_c 6.1436
_cell_angle_alpha 90.00
_cell_angle_beta 90.00
_cell_angle_gamma 90.00
loop_
_atom_site_label
_atom_site_type_symbol
_atom_site_fract_x
_atom_site_fract_y
_atom_site_fract_z
La1 La 0.0000 0.0000 0.0000
Sb1 Sb 0.0000 0.5000 0.0000
Te1 Te 0.0000 0.0000 0.5000
H1 H 0.5000 0.5000 0.5000
```

Values from the calculation:
Total moment (μB/atom): 0.318

arrangement i is favored, and the nearest alternative lies 1.045 eV/atom above it.

Arrangement i

Here is an optimized crystal structure of LaSbTe2H from the Alexandria database. Energies are from PBE-GGA.

Structure (CIF):
```
data_LaSbTe2H
_space_group_name_H-M_alt 'P 4/m m m'
_space_group_IT_number 123
_space_group_name_Hall '-P 4 2'
_cell_length_a 5.5411
_cell_length_b 5.5411
_cell_length_c 4.0030
_cell_angle_alpha 90.00
_cell_angle_beta 90.00
_cell_angle_gamma 90.00
loop_
_atom_site_label
_atom_site_type_symbol
_atom_site_fract_x
_atom_site_fract_y
_atom_site_fract_z
La1 La 0.0000 0.0000 0.0000
Sb1 Sb 0.5000 0.5000 0.0000
Te1 Te 0.0000 0.5000 0.5000
H1 H 0.5000 0.5000 0.5000
```

Values from the calculation:
Total moment (μB/atom): 0.000

Arrangement ii

Here is an optimized crystal structure of LaSbTe2H from the Alexandria database. Energies are from PBE-GGA.

Structure (CIF):
```
data_LaSbTe2H
_space_group_name_H-M_alt 'P 4/m m m'
_space_group_IT_number 123
_space_group_name_Hall '-P 4 2'
_cell_length_a 6.1914
_cell_length_b 6.1914
_cell_length_c 6.3534
_cell_angle_alpha 90.00
_cell_angle_beta 90.00
_cell_angle_gamma 90.00
loop_
_atom_site_label
_atom_site_type_symbol
_atom_site_fract_x
_atom_site_fract_y
_atom_site_fract_z
La1 La 0.0000 0.0000 0.0000
Sb1 Sb 0.0000 0.0000 0.5000
Te1 Te 0.0000 0.5000 0.0000
H1 H 0.5000 0.5000 0.5000
```

Values from the calculation:
Total moment (μB/atom): 0.390

arrangement i is favored, and the nearest alternative lies 0.892 eV/atom above it.

Arrangement i

Here is an optimized crystal structure of LaScH2 from the Alexandria database. Energies are from PBE-GGA.

Structure (CIF):
```
data_LaScH2
_space_group_name_H-M_alt 'R 3 m'
_space_group_IT_number 160
_space_group_name_Hall 'R 3 -2"'
_cell_length_a 3.3768
_cell_length_b 3.3768
_cell_length_c 17.7425
_cell_angle_alpha 90.00
_cell_angle_beta 90.00
_cell_angle_gamma 120.00
loop_
_atom_site_label
_atom_site_type_symbol
_atom_site_fract_x
_atom_site_fract_y
_atom_site_fract_z
La1 La 0.0000 0.0000 0.0000
Sc1 Sc 0.0000 0.0000 0.1737
H1 H 0.0000 0.0000 0.5672
H2 H 0.0000 0.0000 0.7852
```

Values from the calculation:
Total moment (μB/atom): 0.000

Arrangement ii

Here is an optimized crystal structure of LaScH2 from the Alexandria database. Energies are from PBE-GGA.

Structure (CIF):
```
data_LaScH2
_space_group_name_H-M_alt 'F m -3 m'
_space_group_IT_number 225
_space_group_name_Hall '-F 4 2 3'
_cell_length_a 6.1983
_cell_length_b 6.1983
_cell_length_c 6.1983
_cell_angle_alpha 90.00
_cell_angle_beta 90.00
_cell_angle_gamma 90.00
loop_
_atom_site_label
_atom_site_type_symbol
_atom_site_fract_x
_atom_site_fract_y
_atom_site_fract_z
La1 La 0.0000 0.0000 0.0000
Sc1 Sc 0.0000 0.0000 0.5000
H1 H 0.2500 0.2500 0.2500
```

Values from the calculation:
Total moment (μB/atom): 0.000

Arrangement iii

Here is an optimized crystal structure of LaScH2 from the Alexandria database. Energies are from PBE-GGA.

Structure (CIF):
```
data_LaScH2
_space_group_name_H-M_alt 'I -4 2 d'
_space_group_IT_number 122
_space_group_name_Hall 'I -4 2bw'
_cell_length_a 5.1482
_cell_length_b 5.1482
_cell_length_c 10.1740
_cell_angle_alpha 90.00
_cell_angle_beta 90.00
_cell_angle_gamma 90.00
loop_
_atom_site_label
_atom_site_type_symbol
_atom_site_fract_x
_atom_site_fract_y
_atom_site_fract_z
La1 La 0.0000 0.0000 0.0000
Sc1 Sc 0.0000 0.0000 0.5000
H1 H 0.1980 0.2500 0.6250
```

Values from the calculation:
Total moment (μB/atom): 0.000

Arrangement iv

Here is an optimized crystal structure of LaScH2 from the Alexandria database. Energies are from PBE-GGA.

Structure (CIF):
```
data_LaScH2
_space_group_name_H-M_alt 'R -3 m'
_space_group_IT_number 166
_space_group_name_Hall '-R 3 2"'
_cell_length_a 3.4413
_cell_length_b 3.4413
_cell_length_c 17.1760
_cell_angle_alpha 90.00
_cell_angle_beta 90.00
_cell_angle_gamma 120.00
loop_
_atom_site_label
_atom_site_type_symbol
_atom_site_fract_x
_atom_site_fract_y
_atom_site_fract_z
La1 La 0.0000 0.0000 0.0000
Sc1 Sc 0.0000 0.0000 0.5000
H1 H 0.0000 0.0000 0.2300
```

Values from the calculation:
Total moment (μB/atom): 0.000

arrangement iv is favored, and the nearest alternative lies 0.012 eV/atom above it.

Arrangement i

Here is an optimized crystal structure of LaScH3 from the Alexandria database. Energies are from PBE-GGA.

Structure (CIF):
```
data_LaScH3
_space_group_name_H-M_alt 'P m -3 m'
_space_group_IT_number 221
_space_group_name_Hall '-P 4 2 3'
_cell_length_a 4.3415
_cell_length_b 4.3415
_cell_length_c 4.3415
_cell_angle_alpha 90.00
_cell_angle_beta 90.00
_cell_angle_gamma 90.00
loop_
_atom_site_label
_atom_site_type_symbol
_atom_site_fract_x
_atom_site_fract_y
_atom_site_fract_z
La1 La 0.0000 0.0000 0.0000
Sc1 Sc 0.5000 0.5000 0.5000
H1 H 0.0000 0.0000 0.5000
```

Values from the calculation:
Total moment (μB/atom): 0.193

Arrangement ii

Here is an optimized crystal structure of LaScH3 from the Alexandria database. Energies are from PBE-GGA.

Structure (CIF):
```
data_LaScH3
_space_group_name_H-M_alt 'P m -3 m'
_space_group_IT_number 221
_space_group_name_Hall '-P 4 2 3'
_cell_length_a 4.0279
_cell_length_b 4.0279
_cell_length_c 4.0279
_cell_angle_alpha 90.00
_cell_angle_beta 90.00
_cell_angle_gamma 90.00
loop_
_atom_site_label
_atom_site_type_symbol
_atom_site_fract_x
_atom_site_fract_y
_atom_site_fract_z
La1 La 0.0000 0.0000 0.0000
Sc1 Sc 0.5000 0.5000 0.5000
H1 H 0.0000 0.5000 0.5000
```

Values from the calculation:
Total moment (μB/atom): 0.302

arrangement ii is favored, and the nearest alternative lies 0.443 eV/atom above it.